1.
The following is a DFT calculation (PBE) of Li3ZrU2Se6 after structural relaxation.

For the formation energy without anion corrections, the calculation gives -1.23 eV/atom. The total energy is -6.04 eV per atom. The calculation puts the density of states at the Fermi level at 8.48 states/eV/cell.

Unit cell a=6.8123 b=6.8123 c=7.0239 alpha=99.29 beta=99.29 gamma=120.00
Atoms (fractional coordinates):
Li 0.1663 0.8337 0.5000
Li 0.8337 0.1663 0.5000
Li 0.5000 0.5000 0.5000
Zr 0.0000 0.0000 0.0000
U 0.3329 0.6671 0.0000
U 0.6671 0.3329 0.0000
Se 0.9136 0.5917 0.7412
Se 0.7632 0.7632 0.2567
Se 0.0864 0.4083 0.2588
Se 0.5917 0.9136 0.7412
Se 0.2368 0.2368 0.7433
Se 0.4083 0.0864 0.2588

***

2.
The following is a DFT calculation (PBE) of Li2ZrUSe4 after structural relaxation.

For the formation energy without anion corrections, the calculation gives -1.25 eV/atom. The total energy is -5.95 eV per atom. The calculation puts the density of states at the Fermi level at 5.39 states/eV/cell.

Unit cell a=3.8802 b=6.7166 c=7.0162 alpha=108.37 beta=90.00 gamma=90.00
Atoms (fractional coordinates):
Li 0.5000 0.0000 0.5000
Li 0.0000 0.5000 0.5000
Zr 0.5000 0.5000 0.0000
U 0.0000 0.0000 0.0000
Se 0.5000 0.2637 0.2606
Se 0.5000 0.7363 0.7394
Se 0.0000 0.2587 0.7471
Se 0.0000 0.7413 0.2529

***

3.
The following is a DFT calculation (PBE) of Li3Zr3USe8 after structural relaxation.

For the formation energy without anion corrections, the calculation gives -1.29 eV/atom. The total energy is -6.00 eV per atom. The calculation puts the density of states at the Fermi level at 5.81 states/eV/cell.

Unit cell a=7.6422 b=7.6396 c=7.9580 alpha=118.65 beta=90.01 gamma=120.02
Atoms (fractional coordinates):
Li 0.0000 0.0000 0.0000
Li 0.0000 0.5000 0.0000
Li 0.5000 0.5000 0.0000
Zr 0.5000 0.0000 0.5000
Zr 0.5000 0.5000 0.5000
Zr 0.0000 0.5000 0.5000
U 0.0000 0.0000 0.5000
Se 0.2497 0.4994 0.2494
Se 0.7503 0.5006 0.7506
Se 0.7433 0.4865 0.2470
Se 0.2567 0.5135 0.7530
Se 0.7433 0.0034 0.2470
Se 0.2567 0.9966 0.7530
Se 0.2602 0.0034 0.2469
Se 0.7398 0.9966 0.7531

***

4.
The following is a DFT calculation (PBE) of Li2Zr2USe6 after structural relaxation.

For the formation energy without anion corrections, the calculation gives -1.29 eV/atom. The total energy is -6.11 eV per atom. The calculation puts the density of states at the Fermi level at 7.22 states/eV/cell.

Unit cell a=6.7082 b=6.7082 c=6.9730 alpha=99.18 beta=99.18 gamma=120.16
Atoms (fractional coordinates):
Li 0.8342 0.1658 0.0000
Li 0.1658 0.8342 0.0000
Zr 0.3347 0.6653 0.5000
Zr 0.6653 0.3347 0.5000
U 0.0000 0.0000 0.5000
Se 0.7396 0.7396 0.7516
Se 0.0817 0.4262 0.7497
Se 0.2604 0.2604 0.2484
Se 0.4262 0.0817 0.7497
Se 0.9183 0.5738 0.2503
Se 0.5738 0.9183 0.2503

***

5.
The following is a DFT calculation (PBE) of LiZrU2Se4 after structural relaxation.

For the formation energy without anion corrections, the calculation gives -1.14 eV/atom. The total energy is -7.01 eV per atom. The calculation puts the density of states at the Fermi level at 9.24 states/eV/cell.

Unit cell a=3.9042 b=6.8803 c=6.9281 alpha=108.53 beta=90.00 gamma=90.00
Atoms (fractional coordinates):
Li 0.5000 0.5000 0.0000
Zr 0.0000 0.0000 0.0000
U 0.5000 0.0000 0.5000
U 0.0000 0.5000 0.5000
Se 0.5000 0.2506 0.2307
Se 0.5000 0.7494 0.7693
Se 0.0000 0.2615 0.7722
Se 0.0000 0.7385 0.2278

***

6.
The following is a DFT calculation (PBE) of Li3Zr2USe6 after structural relaxation.

For the formation energy without anion corrections, the calculation gives -1.27 eV/atom. The total energy is -5.86 eV per atom. The calculation puts the density of states at the Fermi level at 8.32 states/eV/cell.

Unit cell a=6.6621 b=6.6621 c=7.0011 alpha=99.11 beta=99.11 gamma=119.96
Atoms (fractional coordinates):
Li 0.1650 0.8350 0.5000
Li 0.8350 0.1650 0.5000
Li 0.5000 0.5000 0.5000
Zr 0.3337 0.6663 0.0000
Zr 0.6663 0.3337 0.0000
U 0.0000 0.0000 0.0000
Se 0.9153 0.5713 0.7452
Se 0.7415 0.7415 0.2559
Se 0.0847 0.4287 0.2548
Se 0.5713 0.9153 0.7452
Se 0.2585 0.2585 0.7441
Se 0.4287 0.0847 0.2548

***

7.
The following is a DFT calculation (PBE) of LiV4Se8 after structural relaxation.

The excess energy over the best structure of this formula in the dataset is 48 meV per atom. For the formation energy without anion corrections, the calculation gives -0.73 eV/atom. The total energy is -5.83 eV per atom. The calculation puts the density of states at the Fermi level at 9.67 states/eV/cell.

Unit cell a=7.2429 b=7.2429 c=7.2429 alpha=60.00 beta=60.00 gamma=60.00
Atoms (fractional coordinates):
Li 0.7500 0.7500 0.7500
V 0.9158 0.3614 0.3614
V 0.3614 0.9158 0.3614
V 0.3614 0.3614 0.9158
V 0.3614 0.3614 0.3614
Se 0.6368 0.1211 0.1211
Se 0.1211 0.6368 0.1211
Se 0.1211 0.1211 0.6368
Se 0.1211 0.1211 0.1211
Se 0.1606 0.6131 0.6131
Se 0.6131 0.1606 0.6131
Se 0.6131 0.6131 0.1606
Se 0.6131 0.6131 0.6131

***

8.
The following is a DFT calculation (PBE) of LiVSe2 after structural relaxation.

For the formation energy without anion corrections, the calculation gives -0.92 eV/atom. The total energy is -5.42 eV per atom.

Unit cell a=3.4255 b=3.4255 c=7.0295 alpha=75.90 beta=75.90 gamma=60.00
Atoms (fractional coordinates):
Li 0.6644 0.6644 0.0069
V 0.5010 0.5010 0.4971
Se 0.0901 0.0901 0.7298
Se 0.2446 0.2446 0.2662

***

9.
The following is a DFT calculation (PBE) of LiVSe2 after structural relaxation.

For the formation energy without anion corrections, the calculation gives -0.90 eV/atom. The total energy is -5.40 eV per atom. The calculation puts the density of states at the Fermi level at 5.47 states/eV/cell.

Unit cell a=3.6924 b=3.6924 c=6.2874 alpha=90.00 beta=90.00 gamma=120.00
Atoms (fractional coordinates):
Li 0.0000 0.0000 0.5000
Se 0.3333 0.6667 0.2313
Se 0.6667 0.3333 0.7687
V 0.0000 0.0000 0.0000

***

10.
The following is a DFT calculation (PBE) of LiV2Se2 after structural relaxation.

For the formation energy without anion corrections, the calculation gives -0.42 eV/atom. The total energy is -5.84 eV per atom. The calculation puts the density of states at the Fermi level at 1.51 states/eV/cell.

Unit cell a=4.8159 b=4.8159 c=5.1225 alpha=61.96 beta=61.96 gamma=90.00
Atoms (fractional coordinates):
V 0.3748 0.3748 0.2505
V 0.6252 0.6252 0.7495
Se 0.7500 0.2500 0.5000
Se 0.2500 0.7500 0.5000
Li 0.0000 0.0000 0.0000

***

11.
The following is a DFT calculation (PBE) of LiV3Se6 after structural relaxation.

For the formation energy without anion corrections, the calculation gives -0.61 eV/atom. The total energy is -5.63 eV per atom. The calculation puts the density of states at the Fermi level at 11.38 states/eV/cell.

Unit cell a=6.5625 b=7.9743 c=7.9743 alpha=103.92 beta=90.00 gamma=90.00
Atoms (fractional coordinates):
Li 0.0353 0.1839 0.8161
Li 0.5353 0.8161 0.1839
V 0.4990 0.9273 0.6774
V 0.9990 0.6774 0.9273
V 0.4194 0.4087 0.5913
V 0.9194 0.5913 0.4087
V 0.9990 0.0727 0.3226
V 0.4990 0.3226 0.0727
Se 0.2033 0.6953 0.6405
Se 0.7033 0.6405 0.6953
Se 0.2645 0.4530 0.8932
Se 0.7645 0.8932 0.4530
Se 0.9424 0.9885 0.0115
Se 0.6546 0.2324 0.7676
Se 0.1546 0.7676 0.2324
Se 0.4424 0.0115 0.9885
Se 0.2645 0.1068 0.5470
Se 0.7645 0.5470 0.1068
Se 0.2033 0.3595 0.3047
Se 0.7033 0.3047 0.3595

***

12.
The following is a DFT calculation (PBE) of LiVSe after structural relaxation.

For the formation energy without anion corrections, the calculation gives -0.67 eV/atom. The total energy is -5.51 eV per atom. The calculation puts the density of states at the Fermi level at 2.74 states/eV/cell.

Unit cell a=3.7400 b=3.7400 c=6.7085 alpha=90.00 beta=90.00 gamma=90.00
Atoms (fractional coordinates):
Li 0.0000 0.5000 0.8400
Li 0.5000 0.0000 0.1600
Se 0.0000 0.5000 0.2394
Se 0.5000 0.0000 0.7606
V 0.0000 0.0000 0.5000
V 0.5000 0.5000 0.5000

***

> The highest formation energy without anion corrections belongs to which entry?

LiV2Se2

***

> Which value of formation energy without anion corrections does entry 10 give?

-0.42 eV/atom

***

> formation energy without anion corrections of number 11 (LiV3Se6)?

-0.61 eV/atom